Here is Pm2YTh after structural relaxation from Alexandria. Energies are from PBE-GGA.

Results
ρ, g cm⁻³: 7.639
Calculated formation energy, eV per atom: 0.050

Cell and atoms, written as POSCAR:
```
Pm2YTh
1.0
5.102 0.000 0.000
0.000 5.102 0.000
0.000 0.000 5.103
Pm Y Th
2 1 1
Cartesian
0.000 2.551 0.000
2.551 0.000 0.000
0.000 0.000 2.551
2.551 2.551 2.551
```

---

Here is Ho7Tm2 after structural relaxation from Alexandria. Energies are from PBE-GGA.

Results
ρ, g cm⁻³: 9.023
Calculated formation energy, eV per atom: 0.026

Cell and atoms, written as POSCAR:
```
Ho7Tm2
1.0
6.075 0.000 0.000
-3.038 5.261 0.000
0.000 0.000 8.592
Ho Tm
7 2
Cartesian
0.000 0.000 0.000
-1.013 1.755 5.735
-2.024 3.506 2.858
2.027 0.000 5.735
1.013 1.755 2.858
4.049 0.000 2.858
2.024 3.506 5.735
0.000 3.508 0.000
3.038 1.754 0.000
```